VASP calculation (GGA-PBE) on crystalline HgAs2Au at its relaxed geometry.

Lattice parameters (Å, degrees): 3.923 4.564 5.483 75.66 90.00 90.00
Atoms (fractional coordinates):
1 As 0.000 0.983 0.082
2 As 0.000 0.517 0.418
3 Au 0.500 0.250 0.250
4 Hg 0.500 0.750 0.750

Values from the calculation:
The calculation puts the electronic total energy at -3.206 eV per atom. The density of states at the Fermi level is 0.275 states/eV per atom. Its energy above the most stable polymorph in this dataset is 0.006 eV per atom. Its symmetry is P2/m.

---

VASP calculation (GGA-PBE) on crystalline HgAs2Au at its relaxed geometry.

Lattice parameters (Å, degrees): 7.683 7.683 7.683 27.95 27.95 27.95
Atoms (fractional coordinates):
1 As 0.987 0.987 0.987
2 As 0.254 0.254 0.254
3 Au 0.507 0.507 0.507
4 Hg 0.752 0.752 0.752

Values from the calculation:
The calculation puts the electronic total energy at -3.106 eV per atom. The density of states at the Fermi level is 0.272 states/eV per atom. Its energy above the most stable polymorph in this dataset is 0.105 eV per atom. Its symmetry is R3m.

---

VASP calculation (GGA-PBE) on crystalline HgAsAu2 at its relaxed geometry.

Lattice parameters (Å, degrees): 5.201 2.919 5.469 90.02 90.00 90.00
Atoms (fractional coordinates):
1 As 0.500 0.000 0.872
2 Au 0.000 0.000 0.878
3 Au 0.500 0.999 0.372
4 Hg 0.000 0.500 0.378

Values from the calculation:
The calculation puts the electronic total energy at -2.751 eV per atom. The density of states at the Fermi level is 0.381 states/eV per atom. Its symmetry is Pmm2.

---

VASP calculation (GGA-PBE) on crystalline HgAs2Au at its relaxed geometry.

Lattice parameters (Å, degrees): 6.300 6.300 6.300 144.06 144.06 51.73
Atoms (fractional coordinates):
1 As 0.000 0.000 0.000
2 As 0.500 0.500 0.000
3 Au 0.250 0.750 0.500
4 Hg 0.750 0.250 0.500

Values from the calculation:
The calculation puts the electronic total energy at -2.886 eV per atom. The density of states at the Fermi level is 0.339 states/eV per atom. Its energy above the most stable polymorph in this dataset is 0.325 eV per atom. Its symmetry is I4/mmm.

---

VASP calculation (GGA-PBE) on crystalline HgAsAu2 at its relaxed geometry.

Lattice parameters (Å, degrees): 3.566 3.566 7.932 77.01 77.01 60.00
Atoms (fractional coordinates):
1 Hg 0.499 0.499 0.502
2 As 0.667 0.667 0.998
3 Au 0.076 0.076 0.771
4 Au 0.257 0.257 0.229

Values from the calculation:
The calculation puts the electronic total energy at -2.747 eV per atom. The density of states at the Fermi level is 0.382 states/eV per atom. Its symmetry is R3m.

---

VASP calculation (GGA-PBE) on crystalline HgAs2Au at its relaxed geometry.

Lattice parameters (Å, degrees): 2.971 2.971 10.220 90.00 90.00 112.56
Atoms (fractional coordinates):
1 As 0.000 0.000 0.033
2 As 0.500 0.500 0.241
3 Au 0.000 0.000 0.484
4 Hg 0.500 0.500 0.742

Values from the calculation:
The calculation puts the electronic total energy at -2.914 eV per atom. The density of states at the Fermi level is 0.467 states/eV per atom. Its energy above the most stable polymorph in this dataset is 0.298 eV per atom. Its symmetry is Cmm2.